# LaMoI4O15 | Alexandria via LeMat-Bulk | PBE with a Hubbard U | optimized geometry
# - Spin magnetization: 0.96 μB/f.u.
# - E_tot: -5.315 eV per atom
data_LaMoI4O15
_space_group_name_H-M_alt 'P 1 21 1'
_space_group_IT_number 4
_space_group_name_Hall 'P 2yb'
_cell_length_a 7.2173
_cell_length_b 14.2437
_cell_length_c 7.3560
_cell_angle_alpha 90.00
_cell_angle_beta 114.03
_cell_angle_gamma 90.00
loop_
_atom_site_label
_atom_site_type_symbol
_atom_site_fract_x
_atom_site_fract_y
_atom_site_fract_z
La1 La 0.0789 0.0000 0.4448
Mo1 Mo 0.4185 0.6705 0.2253
I1 I 0.1611 0.1332 0.9656
I2 I 0.2437 0.7492 0.7151
I3 I 0.2567 0.4129 0.1169
I4 I 0.4764 0.9127 0.2598
O1 O 0.0543 0.4062 0.8676
O2 O 0.0591 0.6558 0.6172
O3 O 0.0809 0.8492 0.6090
O4 O 0.0927 0.0378 0.7835
O5 O 0.2336 0.0653 0.1941
O6 O 0.2355 0.7529 0.9676
O7 O 0.2432 0.5714 0.0729
O8 O 0.2502 0.2906 0.1933
O9 O 0.2763 0.7063 0.3569
O10 O 0.2901 0.4781 0.6259
O11 O 0.3852 0.1005 0.6085
O12 O 0.4008 0.9130 0.4705
O13 O 0.4086 0.2922 0.7028
O14 O 0.4217 0.1574 0.9888
O15 O 0.4899 0.4088 0.0757